(1)
{"formula": "LaH4C4NO8", "functional": "PBEsol", "state": "optimized geometry", "lattice_angstrom": [[5.656, 0.080, 0.000], [-0.191, 8.774, 0.000], [0.000, 0.000, 15.656]], "species": ["La", "La", "La", "La", "H", "H", "H", "H", "H", "H", "H", "H", "H", "H", "H", "H", "H", "H", "H", "H", "C", "C", "C", "C", "C", "C", "C", "C", "C", "C", "C", "C", "C", "C", "C", "C", "N", "N", "N", "N", "O", "O", "O", "O", "O", "O", "O", "O", "O", "O", "O", "O", "O", "O", "O", "O", "O", "O", "O", "O", "O", "O", "O", "O", "O", "O", "O", "O", "O", "O", "O", "O"], "fractional_positions": [[0.080, 0.818, 0.401], [0.080, 0.318, 0.099], [0.920, 0.182, 0.599], [0.920, 0.682, 0.901], [0.291, 0.192, 0.911], [0.464, 0.915, 0.108], [0.529, 0.771, 0.640], [0.536, 0.085, 0.892], [0.647, 0.360, 0.309], [0.709, 0.308, 0.411], [0.709, 0.808, 0.089], [0.647, 0.860, 0.191], [0.291, 0.692, 0.589], [0.529, 0.271, 0.860], [0.471, 0.229, 0.360], [0.536, 0.585, 0.608], [0.471, 0.729, 0.140], [0.353, 0.640, 0.691], [0.464, 0.415, 0.392], [0.353, 0.140, 0.809], [0.905, 0.541, 0.527], [0.170, 0.119, 0.274], [0.170, 0.619, 0.226], [0.095, 0.959, 0.027], [0.830, 0.881, 0.726], [0.587, 0.457, 0.029], [0.413, 0.043, 0.529], [0.058, 0.954, 0.764], [0.942, 0.546, 0.264], [0.413, 0.543, 0.971], [0.095, 0.459, 0.473], [0.830, 0.381, 0.774], [0.058, 0.454, 0.736], [0.905, 0.041, 0.973], [0.942, 0.046, 0.236], [0.587, 0.957, 0.471], [0.427, 0.673, 0.632], [0.573, 0.827, 0.132], [0.573, 0.327, 0.368], [0.427, 0.173, 0.868], [0.251, 0.064, 0.342], [0.482, 0.162, 0.566], [0.076, 0.815, 0.032], [0.749, 0.936, 0.658], [0.856, 0.931, 0.275], [0.251, 0.564, 0.158], [0.860, 0.105, 0.169], [0.793, 0.515, 0.034], [0.251, 0.541, 0.438], [0.740, 0.272, 0.732], [0.144, 0.069, 0.725], [0.518, 0.338, 0.066], [0.251, 0.041, 0.062], [0.924, 0.685, 0.532], [0.749, 0.436, 0.842], [0.207, 0.485, 0.966], [0.482, 0.662, 0.934], [0.076, 0.315, 0.468], [0.856, 0.431, 0.225], [0.140, 0.395, 0.669], [0.260, 0.728, 0.268], [0.924, 0.185, 0.968], [0.749, 0.959, 0.938], [0.207, 0.985, 0.534], [0.749, 0.459, 0.562], [0.144, 0.569, 0.775], [0.860, 0.605, 0.331], [0.518, 0.838, 0.434], [0.793, 0.015, 0.466], [0.740, 0.772, 0.768], [0.260, 0.228, 0.232], [0.140, 0.895, 0.831]], "final_energy_ev_per_cell": -529.87, "vol_a3_per_cell": 777.2}

=====

(2)
{"formula": "LiH4CN3", "functional": "PBEsol", "state": "optimized geometry", "lattice_angstrom": [[4.431, 0.000, 0.000], [0.000, 7.140, 0.060], [0.000, -1.965, 8.751]], "species": ["Li", "Li", "Li", "Li", "H", "H", "H", "H", "H", "H", "H", "H", "H", "H", "H", "H", "H", "H", "H", "H", "C", "C", "C", "C", "N", "N", "N", "N", "N", "N", "N", "N", "N", "N", "N", "N"], "fractional_positions": [[0.123, 0.850, 0.519], [0.623, 0.150, 0.981], [0.877, 0.150, 0.481], [0.377, 0.850, 0.019], [0.639, 0.683, 0.510], [0.139, 0.317, 0.990], [0.361, 0.317, 0.490], [0.861, 0.683, 0.010], [0.374, 0.557, 0.383], [0.874, 0.443, 0.117], [0.626, 0.443, 0.617], [0.126, 0.557, 0.883], [0.406, 0.570, 0.147], [0.906, 0.430, 0.353], [0.594, 0.430, 0.853], [0.094, 0.570, 0.647], [0.943, 0.916, 0.248], [0.443, 0.084, 0.252], [0.057, 0.084, 0.752], [0.557, 0.916, 0.748], [0.636, 0.750, 0.300], [0.136, 0.250, 0.200], [0.364, 0.250, 0.700], [0.864, 0.750, 0.800], [0.492, 0.684, 0.418], [0.992, 0.316, 0.082], [0.508, 0.316, 0.582], [0.008, 0.684, 0.918], [0.562, 0.678, 0.154], [0.062, 0.322, 0.346], [0.438, 0.322, 0.846], [0.938, 0.678, 0.654], [0.843, 0.886, 0.343], [0.343, 0.114, 0.157], [0.157, 0.114, 0.657], [0.657, 0.886, 0.843]], "final_energy_ev_per_cell": -217.72, "vol_a3_per_cell": 277.4}

=====

(3)
{"formula": "MgH6C2O6", "functional": "PBEsol", "state": "optimized geometry", "lattice_angstrom": [[-0.271, -4.443, -5.692], [-3.904, -5.830, 4.737], [-7.647, 3.314, -2.224]], "species": ["Mg", "Mg", "Mg", "Mg", "H", "H", "H", "H", "H", "H", "H", "H", "H", "H", "H", "H", "H", "H", "H", "H", "H", "H", "H", "H", "H", "H", "H", "H", "C", "C", "C", "C", "C", "C", "C", "C", "O", "O", "O", "O", "O", "O", "O", "O", "O", "O", "O", "O", "O", "O", "O", "O", "O", "O", "O", "O", "O", "O", "O", "O"], "fractional_positions": [[0.500, 0.500, 0.000], [0.000, 0.500, 0.500], [0.000, 0.000, 0.000], [0.500, 0.000, 0.500], [0.154, 0.514, 0.122], [0.070, 0.689, 0.831], [0.846, 0.986, 0.622], [0.855, 0.126, 0.494], [0.430, 0.189, 0.169], [0.930, 0.311, 0.169], [0.570, 0.311, 0.669], [0.070, 0.189, 0.669], [0.645, 0.626, 0.506], [0.346, 0.014, 0.878], [0.145, 0.874, 0.506], [0.654, 0.986, 0.122], [0.855, 0.626, 0.006], [0.346, 0.514, 0.622], [0.930, 0.811, 0.331], [0.430, 0.689, 0.331], [0.355, 0.374, 0.494], [0.145, 0.374, 0.994], [0.645, 0.126, 0.994], [0.846, 0.486, 0.878], [0.570, 0.811, 0.831], [0.154, 0.014, 0.378], [0.355, 0.874, 0.006], [0.654, 0.486, 0.378], [0.484, 0.269, 0.261], [0.516, 0.231, 0.761], [0.516, 0.731, 0.739], [0.984, 0.231, 0.261], [0.984, 0.731, 0.239], [0.016, 0.769, 0.739], [0.016, 0.269, 0.761], [0.484, 0.769, 0.239], [0.952, 0.402, 0.722], [0.223, 0.462, 0.035], [0.277, 0.962, 0.965], [0.025, 0.722, 0.599], [0.452, 0.098, 0.722], [0.723, 0.038, 0.035], [0.777, 0.038, 0.535], [0.548, 0.902, 0.278], [0.952, 0.902, 0.778], [0.723, 0.538, 0.465], [0.975, 0.278, 0.401], [0.452, 0.598, 0.778], [0.475, 0.222, 0.401], [0.975, 0.778, 0.099], [0.048, 0.098, 0.222], [0.048, 0.598, 0.278], [0.475, 0.722, 0.099], [0.277, 0.462, 0.535], [0.548, 0.402, 0.222], [0.777, 0.538, 0.965], [0.025, 0.222, 0.901], [0.525, 0.778, 0.599], [0.525, 0.278, 0.901], [0.223, 0.962, 0.465]], "final_energy_ev_per_cell": -363.12, "relative_energy_mev_per_atom": 7.3, "vol_a3_per_cell": 527.7}